DFT (GGA-PBE) results for crystalline LaSb2TePd at its relaxed geometry.

POSCAR file:
```
LaSb2TePd
1.0
5.2107 0.0000 0.0000
0.0000 5.2107 0.0000
0.0000 0.0000 5.4337
Sb Te Pd La
2 1 1 1
Direct
0.0000 0.5000 0.0000
0.5000 0.0000 0.0000
0.0000 0.0000 0.5000
0.0000 0.0000 0.0000
0.5000 0.5000 0.5000
```

Values from the calculation:
As for the energy relative to the lowest polymorph listed for this composition: 0 meV per atom. For the uncorrected formation energy, the calculation gives -2.0 eV/f.u. The total magnetic moment is 0.00 μB per formula unit. Its symmetry is P4/mmm (123).